Record 1
Here is a relaxed structure of RbNa2RhCl from the Alexandria database. Energies are from PBE.

a = 6.3726 Å, b = 4.8122 Å, c = 6.3726 Å
α = 90.00°, β = 90.00°, γ = 90.00°
Positions (direct):
Rb  0.0000  0.0000  0.0000
Na  0.0000  0.0000  0.5000
Na  0.5000  0.0000  0.0000
Rh  0.0000  0.5000  0.0000
Cl  0.5000  0.5000  0.5000

## Properties
D(E_F), states/eV/f.u.: 1.0
Raw formation energy, eV per formula unit: 2.8
SG: P4/mmm, No. 123

Record 2
Here is a relaxed structure of RbNaS2Cl from the Alexandria database. Energies are from PBE.

a = 6.1283 Å, b = 6.1283 Å, c = 6.1087 Å
α = 90.00°, β = 90.00°, γ = 90.00°
Each line ends with the local moment (μB).
Positions (direct):
S  0.5000  0.0000  0.0000  0.81
S  0.0000  0.5000  0.0000  0.81
Cl  0.0000  0.0000  0.5000  0.11
Rb  0.0000  0.0000  0.0000  0.04
Na  0.5000  0.5000  0.5000  0.00

## Properties
Energy above the most stable polymorph in this dataset, meV per atom: 423
D(E_F), states/eV/f.u.: 6.2
Raw formation energy, eV per formula unit: 0.5
SG: P4/mmm, No. 123

Record 3
Here is a relaxed structure of RbNaS2Cl from the Alexandria database. Energies are from PBE.

a = 5.3492 Å, b = 5.3492 Å, c = 5.4703 Å
α = 90.00°, β = 90.00°, γ = 90.00°
Each line ends with the local moment (μB).
Positions (direct):
S  0.0000  0.5000  0.0000  0.83
S  0.5000  0.0000  0.0000  0.83
Cl  0.0000  0.0000  0.5000  0.18
Rb  0.5000  0.5000  0.5000  0.00
Na  0.0000  0.0000  0.0000  0.00

## Properties
Energy above the most stable polymorph in this dataset, meV per atom: 0
D(E_F), states/eV/f.u.: 3.7
Raw formation energy, eV per formula unit: -1.6
SG: P4/mmm, No. 123

Record 4
Here is a relaxed structure of Rb2NaSbCl6 from the Alexandria database. Energies are from PBE.

a = 7.5339 Å, b = 7.7481 Å, c = 10.7525 Å
α = 90.00°, β = 89.95°, γ = 90.00°
Positions (direct):
Cl  0.7860  0.8013  0.5391
Cl  0.3037  0.7158  0.4613
Cl  0.0750  0.4847  0.7570
Cl  0.8037  0.7842  0.9613
Cl  0.2860  0.6987  0.0391
Cl  0.4250  0.9847  0.7430
Cl  0.5750  0.0153  0.2570
Cl  0.6963  0.2842  0.5387
Cl  0.9250  0.5153  0.2430
Cl  0.1963  0.2158  0.0387
Cl  0.2140  0.1987  0.4609
Cl  0.7140  0.3013  0.9609
Sb  0.5000  0.0000  0.5000
Sb  0.0000  0.5000  0.0000
Na  0.0000  0.5000  0.5000
Na  0.5000  0.0000  0.0000
Rb  0.5148  0.5565  0.7502
Rb  0.0148  0.9435  0.2502
Rb  0.9852  0.0565  0.7498
Rb  0.4852  0.4435  0.2498

## Properties
Energy above the most stable polymorph in this dataset, meV per atom: 0
D(E_F), states/eV/f.u.: 0.0
Raw formation energy, eV per formula unit: -15.3
SG: P2_1/c, No. 14